CaLaSn | PBE | optimized geometry

The calculation puts the calculated formation energy at -0.431 eV per atom. Its magnetization is 0.70 μB per cell. The calculation puts the total energy at -12.22 eV/cell.

Cell: 4.119 5.258 5.258 Å, 120.00 90.00 90.00°
Each line ends with the local moment (μB).
Fractional positions:
La: 0.357 0.333 0.667  0.16
Sn: 0.750 0.667 0.333  -0.01
Ca: 0.893 0.000 0.000  0.06

=====

CaLaSn | PBE | optimized geometry

The calculation puts the calculated formation energy at -0.604 eV per atom. Its magnetization is 2.05 μB per cell. The calculation puts the total energy at -25.49 eV/cell.

Cell: 4.768 4.768 8.756 Å, 90.00 90.02 90.00°
Each line ends with the local moment (μB).
Fractional positions:
Sn: 0.749 0.250 0.239  -0.04
Ca: 0.250 0.250 0.500  0.09
Sn: 0.251 0.750 0.761  -0.04
La: 0.750 0.250 0.861  0.25
Ca: 0.750 0.750 0.500  0.09
La: 0.250 0.750 0.139  0.25

=====

CaLaSn2 | PBE | optimized geometry

The calculation puts the calculated formation energy at -0.634 eV per atom. Its magnetization is 0.00 μB per cell. The calculation puts the total energy at -17.47 eV/cell.

Cell: 3.880 3.880 7.868 Å, 90.00 90.00 90.00°
Fractional positions:
Ca: 0.500 0.500 0.000
Sn: 0.000 0.000 0.238
Sn: 0.000 0.000 0.762
La: 0.500 0.500 0.500